Computed, not measured: AcFe after structural relaxation at the GGA-PBE level of DFT.

Geometry as CIF:
```
data_AcFe
_chemical_formula_sum 'Ac2 Fe2'
_symmetry_space_group_name_H-M 'P 63/m m c'
_symmetry_Int_Tables_number 194
_symmetry_space_group_name_Hall '-P 6c 2c'
_cell_length_a 4.0365
_cell_length_b 4.0365
_cell_length_c 7.2163
_cell_angle_alpha 90.00
_cell_angle_beta 90.00
_cell_angle_gamma 120.00
loop_
_atom_site_label
_atom_site_type_symbol
_atom_site_fract_x
_atom_site_fract_y
_atom_site_fract_z
_atom_site_occupancy
Ac1 Ac 0.0000 0.0000 0.0000 1
Fe1 Fe 0.3333 0.6667 0.2500 1
```

Summary:
As for the total magnetization: 3.072 Bohr magnetons per cell. The formation energy from the elements comes out at 813.0 meV/atom. The total energy is -5.39 eV per atom. The calculated volume comes out at 25.46 A^3/atom.